# Pm2BeCoO6 (PBE with a Hubbard U, relaxed)
data_Pm2BeCoO6
_chemical_formula_sum 'Pm4 Be2 Co2 O12'
_cell_length_a 5.310
_cell_length_b 5.242
_cell_length_c 7.402
_cell_angle_alpha 90.00
_cell_angle_beta 90.01
_cell_angle_gamma 90.00
_symmetry_space_group_name_H-M 'P 1'
_symmetry_Int_Tables_number 1
loop_
_symmetry_equiv_pos_as_xyz
'x,y,z'
loop_
_atom_site_label
_atom_site_fract_x
_atom_site_fract_y
_atom_site_fract_z
Be1 0.500 0.000 0.000
O1 0.231 0.229 0.032
O2 0.730 0.267 0.966
Pm1 0.005 0.979 0.251
Be2 0.000 0.500 0.500
O3 0.439 0.995 0.752
O4 0.770 0.767 0.534
O5 0.731 0.271 0.532
Pm2 0.495 0.479 0.249
Pm3 0.995 0.021 0.749
Co1 0.000 0.500 0.000
Co2 0.500 0.000 0.500
O6 0.939 0.505 0.252
O7 0.270 0.733 0.034
O8 0.561 0.005 0.248
O9 0.769 0.771 0.968
O10 0.269 0.729 0.468
O11 0.230 0.233 0.466
O12 0.061 0.495 0.748
Pm4 0.505 0.521 0.751
# - total energy (eV per atom) = -7.202
# - space group = P2_1/c (14)
# - volume (Å³ per cell) = 206.0